6
Lattice="-3.0996 1.3131 0.7881 -0.1895 -4.4972 6.7612 4.1140 2.8685 3.8828" Properties=species:S:1:pos:R:3 comment="SrLiNb | Alexandria via LeMat-Bulk | GGA-PBE | relaxed" spacegroup="P-1 (2)" de_polymorph_mev_per_atom=132 ef_ev_per_atom=0.447 pbc="T T T"
Sr -1.5668 -0.4672 2.2189
Nb -0.1496 0.1392 6.8131
Li -0.0387 2.2619 3.6995
Nb 0.9745 -0.4548 4.6190
Li 0.8636 -2.5775 7.7326
Sr 2.3917 0.1516 9.2133

---

5
Lattice="-5.6102 -2.3109 1.5488 1.0543 -4.2904 -2.5824 2.4646 -2.5119 5.1796" Properties=species:S:1:pos:R:3 comment="Sr2LiNbTl | Alexandria via LeMat-Bulk | GGA-PBE | relaxed" spacegroup="P4/mmm (123)" ef_ev_per_atom=0.849 pbc="T T T"
Tl -1.0456 -4.5566 2.0730
Sr -2.8051 -1.1554 0.7744
Nb 0.0000 0.0000 0.0000
Sr 1.2323 -1.2560 2.5898
Li 0.5272 -2.1452 -1.2912

---

5
Lattice="5.0980 0.0000 0.0000 0.0000 5.8558 0.0000 0.0000 0.0000 5.0980" Properties=species:S:1:pos:R:3 comment="SrLi2NbV | Alexandria via LeMat-Bulk | GGA-PBE | relaxed" spacegroup="P4/mmm (123)" ef_ev_per_atom=1.583 pbc="T T T"
V 2.5490 2.9279 2.5490
Li 2.5490 0.0000 0.0000
Nb 0.0000 0.0000 0.0000
Li 0.0000 0.0000 2.5490
Sr 0.0000 2.9279 0.0000

---

5
Lattice="-2.8421 2.2419 3.9331 -4.3968 -1.5260 -2.3073 0.1596 -4.5914 2.7325" Properties=species:S:1:pos:R:3 comment="SrLiY2Nb | Alexandria via LeMat-Bulk | GGA-PBE | relaxed" spacegroup="P4/mmm (123)" ef_ev_per_atom=1.061 pbc="T T T"
Y 0.0798 -2.2957 1.3662
Nb -3.5396 -1.9377 2.1791
Li 0.0000 0.0000 0.0000
Sr -2.1984 -0.7630 -1.1537
Y -1.4210 1.1209 1.9665

---

8
Lattice="-4.5548 -2.6377 5.0019 5.2207 -4.4293 2.4183 1.0870 -1.7588 5.3326" Properties=species:S:1:pos:R:3 comment="Li2TaNb | Alexandria via LeMat-Bulk | GGA-PBE | relaxed" spacegroup="I-42d (122)" de_polymorph_mev_per_atom=178 ef_ev_per_atom=0.820 pbc="T T T"
Ta 0.0000 0.0000 0.0000
Nb 0.3329 -3.5335 3.7101
Li -1.9142 -2.6371 4.7526
Ta -1.5674 -3.9650 7.0223
Nb 3.3203 -4.8608 5.7305
Li 1.3885 -7.4947 10.4877
Li 2.9571 -3.5425 3.4788
Li 1.0744 -3.9772 6.7864

---

5
Lattice="-1.1847 -2.7894 3.3276 3.7335 1.1066 2.2569 -2.2169 3.3544 2.0226" Properties=species:S:1:pos:R:3 comment="Li3TaNb | Alexandria via LeMat-Bulk | GGA-PBE | relaxed" spacegroup="Pm-3m (221)" de_polymorph_mev_per_atom=0 ef_ev_per_atom=1.748 pbc="T T T"
Ta 0.1659 0.8358 3.8035
Li -0.5924 -1.3947 1.6638
Nb 0.0000 0.0000 0.0000
Li 1.8668 0.5533 1.1285
Li -1.1085 1.6772 1.0113

---

4
Lattice="0.0000 3.2546 3.2546 3.2546 0.0000 3.2546 3.2546 3.2546 0.0000" Properties=species:S:1:pos:R:3 comment="LiTa2Nb | Alexandria via LeMat-Bulk | GGA-PBE | relaxed" spacegroup="Fm-3m (225)" de_polymorph_mev_per_atom=0 ef_ev_per_atom=0.320 pbc="T T T"
Ta 4.8818 4.8818 4.8818
Li 0.0000 0.0000 0.0000
Nb 3.2546 3.2546 3.2546
Ta 1.6273 1.6273 1.6273

---

4
Lattice="3.7311 2.0284 1.2039 0.5666 1.2754 4.1877 2.9189 -2.0904 2.5681" Properties=species:S:1:pos:R:3 comment="Li2TaNb | Alexandria via LeMat-Bulk | GGA-PBE | relaxed" spacegroup="Fm-3m (225)" de_polymorph_mev_per_atom=0 ef_ev_per_atom=0.642 pbc="T T T"
Ta 3.6083 0.6067 3.9799
Nb 0.0000 0.0000 0.0000
Li 5.4124 0.9101 5.9698
Li 1.8041 0.3034 1.9899

---

8
Lattice="-2.8960 2.1557 6.2602 -4.8041 -5.3861 -0.3677 -2.1412 -3.2314 4.2933" Properties=species:S:1:pos:R:3 comment="LiTa2Nb | Alexandria via LeMat-Bulk | GGA-PBE | relaxed" spacegroup="I-42d (122)" de_polymorph_mev_per_atom=439 ef_ev_per_atom=0.759 pbc="T T T"
Li -3.8500 -1.6152 2.9462
Ta -2.8919 -0.1740 4.8234
Nb 0.0000 0.0000 0.0000
Li -5.3976 -5.1163 3.4359
Nb -4.4436 -1.3455 6.7499
Ta -3.9537 -3.8646 1.7426
Ta -4.5828 -3.7352 5.4228
Ta -8.2540 -5.1499 8.3828

---

5
Lattice="4.8276 0.0000 0.0000 0.0000 4.2931 0.0000 0.0000 0.0000 4.8276" Properties=species:S:1:pos:R:3 comment="LiTaNb2W | Alexandria via LeMat-Bulk | GGA-PBE | relaxed" spacegroup="P4/mmm (123)" ef_ev_per_atom=1.813 pbc="T T T"
W 2.4138 2.1466 2.4138
Nb 2.4138 0.0000 0.0000
Ta 0.0000 0.0000 0.0000
Nb 0.0000 0.0000 2.4138
Li 0.0000 2.1466 0.0000

---

4
Lattice="3.5666 -1.5803 -1.7163 0.5236 -4.2175 -0.3200 -0.1260 -1.8789 -3.8233" Properties=species:S:1:pos:R:3 comment="Li2NbTc | Alexandria via LeMat-Bulk | GGA-PBE | relaxed" spacegroup="Fm-3m (225)" de_polymorph_mev_per_atom=0 ef_ev_per_atom=0.607 pbc="T T T"
Nb 0.0000 0.0000 0.0000
Li 2.9732 -5.7575 -4.3947
Tc 1.9821 -3.8384 -2.9298
Li 0.9911 -1.9192 -1.4649

---

8
Lattice="-3.9263 -5.8829 -0.4694 2.8566 -1.4011 -6.3342 1.2429 -4.9149 -2.3185" Properties=species:S:1:pos:R:3 comment="Li2NbTc | Alexandria via LeMat-Bulk | GGA-PBE | relaxed" spacegroup="I-42d (122)" de_polymorph_mev_per_atom=106 ef_ev_per_atom=0.714 pbc="T T T"
Nb -0.5349 -3.6420 -3.4018
Nb 1.7823 -4.9791 -6.0272
Tc 0.0000 0.0000 0.0000
Li -1.8480 -5.1734 -1.6721
Li 0.0411 -10.0818 -7.7917
Li 0.4860 -6.3957 -4.1904
Li 1.6671 -2.7472 -4.5898
Tc -1.6092 -7.2200 -3.0948

---

5
Lattice="-0.4466 -2.8128 3.2640 2.1056 -3.0054 -2.3019 3.7592 1.3492 1.6770" Properties=species:S:1:pos:R:3 comment="Li3NbTc | Alexandria via LeMat-Bulk | GGA-PBE | relaxed" spacegroup="Pm-3m (221)" de_polymorph_mev_per_atom=0 ef_ev_per_atom=1.477 pbc="T T T"
Li 1.0528 -1.5027 -1.1509
Tc 0.0000 0.0000 0.0000
Nb 2.7091 -2.2345 1.3196
Li 1.8796 0.6746 0.8385
Li -0.2233 -1.4064 1.6320

---

5
Lattice="-5.0191 0.1477 -0.8292 -0.0120 -5.0225 -0.8216 -0.8422 -0.8083 4.9536" Properties=species:S:1:pos:R:3 comment="LiNb3Te | Alexandria via LeMat-Bulk | GGA-PBE | relaxed" spacegroup="Pm-3m (221)" de_polymorph_mev_per_atom=484 e_form_raw_mev_per_atom=1396.2 pbc="T T T"
Nb -0.0060 -2.5113 -0.4108
Te 0.0000 0.0000 0.0000
Nb -2.5095 0.0738 -0.4146
Li -2.9367 -2.8416 1.6514
Nb -0.4211 -0.4041 2.4768

---

13
Lattice="6.4792 -0.0005 -3.5004 -4.1808 6.0602 0.0023 0.5836 0.4038 8.8335" Properties=species:S:1:pos:R:3 comment="LiNb4Te8 | Alexandria via LeMat-Bulk | GGA-PBE | relaxed" spacegroup="R-3m (166)" e_form_raw_mev_per_atom=-473.4 pbc="T T T"
Nb 0.0000 0.0000 0.0000
Te 2.2997 1.5869 0.3852
Te -0.5680 1.8462 6.6990
Te -2.6582 4.8754 6.7001
Te 5.5402 1.5882 -1.3647
Nb 4.3888 3.0296 -3.4992
Te 0.2094 4.6173 0.3839
Nb 3.2396 -0.0002 -1.7502
Te 3.4500 4.6173 -1.3636
Te 2.6726 1.8462 4.9514
Te 0.5823 4.8766 4.9502
Nb 1.1492 3.0298 -1.7491
Li -1.7986 3.2320 4.4179

---

12
Lattice="-5.8723 -3.6133 1.6216 3.7989 -4.3511 4.0615 -1.4343 3.9583 5.5821" Properties=species:S:1:pos:R:3 comment="LiNbTe4 | Alexandria via LeMat-Bulk | GGA-PBE | relaxed" spacegroup="P2_1/c (14)" e_form_raw_mev_per_atom=-359.6 pbc="T T T"
Te -0.8682 1.5494 6.8467
Te -1.4012 -1.5933 4.3354
Te -2.1065 -2.4128 6.9298
Nb 0.0000 0.0000 0.0000
Te 1.1048 -4.6745 4.4716
Li 1.1823 -0.1964 4.8218
Te -2.6394 -5.5555 4.4185
Te -5.3664 -2.2213 4.0460
Te -4.6125 0.6684 6.7936
Nb -1.0367 -3.9822 2.8416
Te 1.8587 -1.7848 7.2192
Li -3.6533 0.1725 3.6019

---

5
Lattice="-0.8917 -4.2815 1.0576 1.4248 0.7415 4.2030 -4.1737 1.1679 1.2088" Properties=species:S:1:pos:R:3 comment="LiNb3Te | Alexandria via LeMat-Bulk | GGA-PBE | relaxed" spacegroup="Pm-3m (221)" de_polymorph_mev_per_atom=0 e_form_raw_mev_per_atom=912.2 pbc="T T T"
Li 0.0000 0.0000 0.0000
Nb -2.0869 0.5839 0.6044
Te -1.8203 -1.1861 3.2347
Nb 0.7124 0.3707 2.1015
Nb -0.4459 -2.1408 0.5288

---

16
Lattice="-5.9027 -4.0967 -1.9352 4.2626 -6.5309 0.8236 -2.4652 -0.5216 8.6232" Properties=species:S:1:pos:R:3 comment="Li3NbTe4 | Alexandria via LeMat-Bulk | GGA-PBE | relaxed" spacegroup="Pmn2_1 (31)" e_form_raw_mev_per_atom=-616.3 pbc="T T T"
Li -2.1663 -4.2933 1.4847
Li -3.3864 -4.5514 5.7524
Te -3.0991 -3.8334 -1.1178
Te 1.3708 -6.2607 4.6929
Li -3.6188 -8.6163 0.7604
Te -4.3058 -3.7347 3.2229
Nb 0.7136 -1.1677 0.1334
Nb -0.7018 -7.7186 4.0122
Te -2.6362 -7.2782 5.7508
Li -0.6087 -1.2616 4.4294
Te 0.1225 -2.7854 2.1315
Li 0.6470 -7.6064 -0.2751
Li -4.8639 -8.8798 5.1158
Te -1.1495 -3.0545 6.5812
Te 2.9360 -6.1106 0.4697
Te -1.4431 -7.0257 1.5773

---

5
Lattice="-4.7793 -0.6439 -1.4456 -1.0895 -2.1109 4.5423 -1.1659 4.5424 1.8313" Properties=species:S:1:pos:R:3 comment="LiTi2NbTe | Alexandria via LeMat-Bulk | GGA-PBE | relaxed" spacegroup="P4/mmm (123)" e_form_raw_mev_per_atom=971.0 pbc="T T T"
Li -3.5174 0.8938 2.4640
Ti -0.5830 2.2712 0.9156
Ti -2.3897 -0.3220 -0.7228
Te 0.0000 0.0000 0.0000
Nb -0.5447 -1.0555 2.2712

---

5
Lattice="5.1082 0.0000 0.0000 0.0000 4.9848 0.0000 0.0000 0.0000 5.1082" Properties=species:S:1:pos:R:3 comment="LiNb2VTe | Alexandria via LeMat-Bulk | GGA-PBE | relaxed" spacegroup="P4/mmm (123)" e_form_raw_mev_per_atom=1332.0 pbc="T T T"
Nb 0.0000 0.0000 2.5541
Li 2.5541 2.4924 2.5541
V 0.0000 2.4924 0.0000
Nb 2.5541 0.0000 0.0000
Te 0.0000 0.0000 0.0000

---

Number 1: volume 165.9 Å³/cell, uncorrected energy -24.6 eV for the cell shown. Number 2: volume 200.7 Å³/cell, uncorrected energy -13.5 eV for the cell shown. Number 3: volume 152.2 Å³/cell, uncorrected energy -16.8 eV for the cell shown. Number 4: volume 148.4 Å³/cell, uncorrected energy -21.3 eV for the cell shown. Number 5: volume 132.9 Å³/cell, uncorrected energy -44.9 eV for the cell shown. Number 6: volume 91.2 Å³/cell, uncorrected energy -18.9 eV for the cell shown. Number 7: volume 68.9 Å³/cell, uncorrected energy -34.4 eV for the cell shown. Number 8: volume 60.8 Å³/cell, uncorrected energy -23.2 eV for the cell shown. Number 9: volume 141.6 Å³/cell, uncorrected energy -65.3 eV for the cell shown. Number 10: volume 100.1 Å³/cell, uncorrected energy -37.8 eV for the cell shown. Number 11: volume 54.7 Å³/cell, uncorrected energy -21.8 eV for the cell shown. Number 12: volume 122.6 Å³/cell, uncorrected energy -42.8 eV for the cell shown. Number 13: volume 81.3 Å³/cell, uncorrected energy -18.8 eV for the cell shown. Number 14: volume 131.8 Å³/cell, uncorrected energy -28.3 eV for the cell shown. Number 15: volume 365.1 Å³/cell, uncorrected energy -73.5 eV for the cell shown. Number 16: volume 349.0 Å³/cell, uncorrected energy -53.4 eV for the cell shown. Number 17: volume 91.1 Å³/cell, uncorrected energy -30.7 eV for the cell shown. Number 18: volume 524.2 Å³/cell, uncorrected energy -66.6 eV for the cell shown. Number 19: volume 129.9 Å³/cell, uncorrected energy -26.1 eV for the cell shown. Number 20: volume 130.1 Å³/cell, uncorrected energy -27.7 eV for the cell shown.